! Sr2AsP SCAN PBEsol geometry; values from VASP
&SYSTEM
  ibrav = 0, nat = 4, ntyp = 3
/
ATOMIC_SPECIES
Sr 87.62 Sr.upf
P 30.97 P.upf
As 74.92 As.upf
CELL_PARAMETERS angstrom
-3.915 -3.285 0.024
-0.730 -3.134 -3.970
1.123 -5.309 0.695
ATOMIC_POSITIONS crystal
Sr 0.252 0.252 0.244
Sr 0.748 0.748 0.756
P 0.000 0.000 0.000
As 0.500 0.500 0.500
! Final energy = -78.6 eV/f.u.

---

! InNiAg SCAN PBEsol geometry; values from VASP
&SYSTEM
  ibrav = 0, nat = 3, ntyp = 3
/
ATOMIC_SPECIES
Ag 107.87 Ag.upf
Ni 58.69 Ni.upf
In 114.82 In.upf
CELL_PARAMETERS angstrom
-1.672 2.480 -1.029
-2.311 -0.712 2.038
4.022 1.835 2.749
ATOMIC_POSITIONS crystal
Ag 0.010 0.010 0.020
Ni 0.672 0.672 0.343
In 0.319 0.319 0.637
! Final energy = -80.6 eV/f.u.

---

! PtWAu2 SCAN PBEsol geometry; values from VASP
&SYSTEM
  ibrav = 0, nat = 4, ntyp = 3
/
ATOMIC_SPECIES
Au 196.97 Au.upf
Pt 195.08 Pt.upf
W 183.84 W.upf
CELL_PARAMETERS angstrom
-1.672 -1.112 4.025
-3.351 -2.985 0.297
0.775 -4.089 1.706
ATOMIC_POSITIONS crystal
Au 0.000 0.000 0.000
Au 0.750 0.750 0.750
Pt 0.500 0.500 0.500
W 0.250 0.250 0.250
! Energy above the lowest structure with this stoichiometry = 30.8 kJ/mol of atoms

---

! BaHg2P SCAN PBEsol geometry; values from VASP
&SYSTEM
  ibrav = 0, nat = 4, ntyp = 3
/
ATOMIC_SPECIES
Hg 200.59 Hg.upf
Ba 137.33 Ba.upf
P 30.97 P.upf
CELL_PARAMETERS angstrom
-2.130 -3.553 -3.303
2.303 -0.991 -4.667
2.426 -4.637 -0.825
ATOMIC_POSITIONS crystal
Hg 0.000 0.000 0.000
Hg 0.750 0.750 0.750
Ba 0.250 0.250 0.250
P 0.500 0.500 0.500
! Final energy = -187.7 eV/f.u.

---

! GePbNF2 SCAN PBEsol geometry; values from VASP
&SYSTEM
  ibrav = 0, nat = 5, ntyp = 4
/
ATOMIC_SPECIES
Pb 207.20 Pb.upf
N 14.01 N.upf
F 19.00 F.upf
Ge 72.64 Ge.upf
CELL_PARAMETERS angstrom
-0.996 4.149 0.298
-2.180 -0.246 -3.877
-3.743 -1.055 2.172
ATOMIC_POSITIONS crystal
Pb 0.000 0.000 0.000
N 0.500 0.000 0.000
F 0.000 0.500 0.000
F 0.000 0.000 0.500
Ge 0.500 0.500 0.500
! Formation energy without anion corrections = -0.20 eV/atom

---

! Na3NpH2O6 SCAN PBEsol geometry; values from VASP
&SYSTEM
  ibrav = 0, nat = 24, ntyp = 4
/
ATOMIC_SPECIES
O 16.00 O.upf
H 1.01 H.upf
Na 22.99 Na.upf
Np 237.00 Np.upf
CELL_PARAMETERS angstrom
5.906 0.000 0.000
2.953 5.214 0.000
2.953 0.000 9.854
ATOMIC_POSITIONS crystal
O 0.643 0.130 0.378
O 0.345 0.939 0.878
O 0.797 0.198 0.888
O 0.005 0.198 0.112
O 0.716 0.939 0.122
O 0.227 0.130 0.622
O 0.099 0.630 0.878
O 0.367 0.698 0.388
O 0.935 0.698 0.612
O 0.271 0.630 0.122
O 0.473 0.439 0.622
O 0.087 0.439 0.378
H 0.265 0.091 0.713
H 0.181 0.591 0.213
H 0.644 0.091 0.287
H 0.228 0.591 0.787
Na 0.072 0.084 0.325
Na 0.844 0.084 0.675
Na 0.368 0.264 0.000
Na 0.646 0.584 0.175
Na 0.618 0.764 0.500
Na 0.769 0.584 0.825
Np 0.280 0.440 0.500
Np 0.030 0.940 0.000
! Final energy = -188.3 eV/f.u.

---

! Y2TiOs SCAN PBEsol geometry; values from VASP
&SYSTEM
  ibrav = 0, nat = 4, ntyp = 3
/
ATOMIC_SPECIES
Os 190.23 Os.upf
Y 88.91 Y.upf
Ti 47.87 Ti.upf
CELL_PARAMETERS angstrom
-3.042 3.778 0.516
-3.888 0.418 -2.917
-4.482 -0.705 1.793
ATOMIC_POSITIONS crystal
Os 0.500 0.500 0.500
Y 0.750 0.750 0.750
Y 0.250 0.250 0.250
Ti 0.000 0.000 0.000
! Final energy = -143.4 eV/f.u.

---

! Y3GaPb SCAN PBEsol geometry; values from VASP
&SYSTEM
  ibrav = 0, nat = 5, ntyp = 3
/
ATOMIC_SPECIES
Y 88.91 Y.upf
Ga 69.72 Ga.upf
Pb 207.20 Pb.upf
CELL_PARAMETERS angstrom
-5.104 0.728 1.361
0.232 -4.288 3.162
1.525 3.086 4.073
ATOMIC_POSITIONS crystal
Y 0.500 0.000 0.000
Y 0.000 0.500 0.000
Y 0.000 0.000 0.500
Ga 0.000 0.000 0.000
Pb 0.500 0.500 0.500
! Final energy = -177.7 eV/f.u.

---

! ReBiMoH2 SCAN PBEsol geometry; values from VASP
&SYSTEM
  ibrav = 0, nat = 5, ntyp = 4
/
ATOMIC_SPECIES
Mo 95.94 Mo.upf
H 1.01 H.upf
Re 186.21 Re.upf
Bi 208.98 Bi.upf
CELL_PARAMETERS angstrom
3.784 0.000 0.000
0.000 3.784 0.000
0.000 0.000 5.331
ATOMIC_POSITIONS crystal
Mo 0.500 0.500 0.500
H 0.000 0.500 0.000
H 0.500 0.000 0.000
Re 0.000 0.000 0.000
Bi 0.000 0.000 0.500
! Final energy = -184.8 eV/f.u.

---

! NiMoC3 SCAN PBEsol geometry; values from VASP
&SYSTEM
  ibrav = 0, nat = 5, ntyp = 3
/
ATOMIC_SPECIES
Ni 58.69 Ni.upf
C 12.01 C.upf
Mo 95.94 Mo.upf
CELL_PARAMETERS angstrom
-3.755 1.075 0.763
-1.296 -3.433 -1.541
0.242 -1.702 3.589
ATOMIC_POSITIONS crystal
Ni 0.500 0.500 0.500
C 0.000 0.500 0.000
C 0.500 0.000 0.000
C 0.000 0.000 0.500
Mo 0.000 0.000 0.000
! Final energy = -69.9 eV/f.u.

---

! Na2InHBr SCAN PBEsol geometry; values from VASP
&SYSTEM
  ibrav = 0, nat = 5, ntyp = 4
/
ATOMIC_SPECIES
Br 79.90 Br.upf
In 114.82 In.upf
Na 22.99 Na.upf
H 1.01 H.upf
CELL_PARAMETERS angstrom
4.723 0.000 0.000
0.000 4.925 0.000
0.000 0.000 4.925
ATOMIC_POSITIONS crystal
Br 0.500 0.500 0.500
In 0.500 0.000 0.000
Na 0.000 0.000 0.500
Na 0.000 0.500 0.000
H 0.000 0.000 0.000
! Final energy = -66.5 eV/f.u.

---

! SiSbTe2 SCAN PBEsol geometry; values from VASP
&SYSTEM
  ibrav = 0, nat = 4, ntyp = 3
/
ATOMIC_SPECIES
Te 127.60 Te.upf
Si 28.09 Si.upf
Sb 121.76 Sb.upf
CELL_PARAMETERS angstrom
-0.675 -1.259 -4.056
2.860 -3.171 0.508
-5.029 -1.068 3.448
ATOMIC_POSITIONS crystal
Te 0.750 0.250 0.500
Te 0.000 0.000 0.000
Si 0.250 0.750 0.500
Sb 0.500 0.500 0.000
! Formation energy without anion corrections = 0.60 eV/atom
! Energy above the lowest structure with this stoichiometry = 32.1 kJ/mol of atoms

---

! La3Co4Ge4 SCAN PBEsol geometry; values from VASP
&SYSTEM
  ibrav = 0, nat = 11, ntyp = 3
/
ATOMIC_SPECIES
Ge 72.64 Ge.upf
La 138.91 La.upf
Co 58.93 Co.upf
CELL_PARAMETERS angstrom
-3.666 1.775 0.248
-0.780 -1.073 -3.855
-2.552 -10.754 5.667
ATOMIC_POSITIONS crystal
Ge 0.300 0.800 0.600
Ge 0.052 0.052 0.105
Ge 0.700 0.200 0.400
Ge 0.948 0.948 0.895
La 0.148 0.648 0.296
La 0.852 0.352 0.704
La 0.500 0.500 0.000
Co 0.251 0.251 0.501
Co 0.399 0.899 0.798
Co 0.749 0.749 0.499
Co 0.601 0.101 0.202
! Final energy = -280.6 eV/f.u.

---

! KZn2Re SCAN PBEsol geometry; values from VASP
&SYSTEM
  ibrav = 0, nat = 4, ntyp = 3
/
ATOMIC_SPECIES
Zn 65.41 Zn.upf
K 39.10 K.upf
Re 186.21 Re.upf
CELL_PARAMETERS angstrom
4.665 0.000 0.000
2.332 4.040 0.000
2.332 1.347 3.809
ATOMIC_POSITIONS crystal
Zn 0.000 0.000 0.000
Zn 0.750 0.750 0.750
K 0.500 0.500 0.500
Re 0.250 0.250 0.250
! Energy above the lowest structure with this stoichiometry = 96.7 kJ/mol of atoms

---

! Bi4I3Br SCAN PBEsol geometry; values from VASP
&SYSTEM
  ibrav = 0, nat = 16, ntyp = 3
/
ATOMIC_SPECIES
I 126.90 I.upf
Bi 208.98 Bi.upf
Br 79.90 Br.upf
CELL_PARAMETERS angstrom
4.319 0.000 0.000
-2.159 7.232 0.000
0.000 0.000 19.568
ATOMIC_POSITIONS crystal
I 0.386 0.772 0.125
I 0.398 0.796 0.903
I 0.887 0.773 0.318
I 0.113 0.227 0.818
I 0.614 0.228 0.625
I 0.602 0.204 0.403
Bi 0.714 0.429 0.015
Bi 0.286 0.571 0.515
Bi 0.967 0.934 0.656
Bi 0.755 0.510 0.862
Bi 0.245 0.490 0.362
Bi 0.931 0.861 0.502
Bi 0.033 0.066 0.156
Bi 0.069 0.139 0.002
Br 0.340 0.679 0.694
Br 0.660 0.321 0.194
! Formation energy without anion corrections = -0.26 eV/atom

---

! MgZnAs2 SCAN PBEsol geometry; values from VASP
&SYSTEM
  ibrav = 0, nat = 4, ntyp = 3
/
ATOMIC_SPECIES
As 74.92 As.upf
Zn 65.41 Zn.upf
Mg 24.30 Mg.upf
CELL_PARAMETERS angstrom
3.572 0.000 0.000
0.000 4.523 0.078
0.000 -1.041 4.402
ATOMIC_POSITIONS crystal
As 0.000 0.500 0.000
As 0.000 0.000 0.500
Zn 0.500 0.500 0.500
Mg 0.500 0.000 0.000
! Energy above the lowest structure with this stoichiometry = 8.1 kJ/mol of atoms

---

! CoIrRh SCAN PBEsol geometry; values from VASP
&SYSTEM
  ibrav = 0, nat = 3, ntyp = 3
/
ATOMIC_SPECIES
Ir 192.22 Ir.upf
Co 58.93 Co.upf
Rh 102.91 Rh.upf
CELL_PARAMETERS angstrom
2.647 0.000 0.000
0.000 3.653 0.000
-1.323 -1.827 3.915
ATOMIC_POSITIONS crystal
Ir 0.662 0.662 0.324
Co 0.003 0.003 0.006
Rh 0.335 0.335 0.670
! Energy above the lowest structure with this stoichiometry = 0.7 kJ/mol of atoms

---

! InHgRh2 SCAN PBEsol geometry; values from VASP
&SYSTEM
  ibrav = 0, nat = 4, ntyp = 3
/
ATOMIC_SPECIES
Hg 200.59 Hg.upf
In 114.82 In.upf
Rh 102.91 Rh.upf
CELL_PARAMETERS angstrom
2.960 0.000 0.000
0.000 3.992 0.000
0.000 0.000 5.646
ATOMIC_POSITIONS crystal
Hg 0.000 0.000 0.472
In 0.500 0.500 0.783
Rh 0.500 0.500 0.259
Rh 0.000 0.000 0.987
! Final energy = -168.9 eV/f.u.

---

! SrZrPt2 SCAN PBEsol geometry; values from VASP
&SYSTEM
  ibrav = 0, nat = 4, ntyp = 3
/
ATOMIC_SPECIES
Pt 195.08 Pt.upf
Zr 91.22 Zr.upf
Sr 87.62 Sr.upf
CELL_PARAMETERS angstrom
-2.349 2.026 -2.681
-1.773 -3.525 -1.110
-1.208 1.349 5.212
ATOMIC_POSITIONS crystal
Pt 0.750 0.250 0.500
Pt 0.000 0.000 0.000
Zr 0.250 0.750 0.500
Sr 0.500 0.500 0.000
! Energy above the lowest structure with this stoichiometry = 51.5 kJ/mol of atoms

---

! CrOsRh2 SCAN PBEsol geometry; values from VASP
&SYSTEM
  ibrav = 0, nat = 4, ntyp = 3
/
ATOMIC_SPECIES
Cr 52.00 Cr.upf
Os 190.23 Os.upf
Rh 102.91 Rh.upf
CELL_PARAMETERS angstrom
2.653 0.000 0.000
0.000 4.225 0.000
0.000 0.000 4.652
ATOMIC_POSITIONS crystal
Cr 0.500 0.000 0.534
Os 0.500 0.500 0.216
Rh 0.000 0.500 0.707
Rh 0.000 0.000 0.043
! Energy above the lowest structure with this stoichiometry = 1.0 kJ/mol of atoms